No. 1
Entry from Alexandria via LeMat-Bulk: a relaxed EuZrSn2 crystal (PBE-GGA).

total moment = 7.3 μB/cell
energy above the lowest structure with this stoichiometry = 0.0000 eV/atom
uncorrected energy = -7.18 eV per atom
Fermi-level density of states = 2.8 states/eV per cell

Cell: 3.877 3.877 6.980 Å, 90.00 90.00 90.00°
Last column: magnetic moment on the atom in μB.
Element x y z (fractional)
Eu: 0.500 0.500 0.500  6.85
Sn: 0.000 0.000 0.787  -0.03
Sn: 0.000 0.000 0.213  -0.03
Zr: 0.500 0.500 0.000  0.20


No. 2
Entry from Alexandria via LeMat-Bulk: a relaxed ZnCu2Sb2 crystal (PBE-GGA).

total moment = 0.0 μB/cell
energy above the lowest structure with this stoichiometry = 0.0000 eV/atom
formation energy (no corrections) = 0.153 eV/atom
uncorrected energy = -3.39 eV per atom
Fermi-level density of states = 2.1 states/eV per cell

Cell: 3.525 3.525 8.373 Å, 77.85 77.85 90.00°
Element x y z (fractional)
Sb: 0.381 0.381 0.237
Sb: 0.619 0.619 0.763
Zn: 0.000 0.000 0.000
Cu: 0.750 0.250 0.500
Cu: 0.250 0.750 0.500